This record from Alexandria describes a geometry-optimized NaReBi2 structure. The functional is GGA-PBE.

Unit cell a=7.1083 b=7.1083 c=7.8751 alpha=63.17 beta=63.17 gamma=90.00
Last column: nearest neighbours and their distance in Å.
Element x y z (fractional)
Bi: 0.3750 0.2986 0.7500  2 Re 2.64
Bi: 0.8750 0.9514 0.7500  2 Re 2.64
Bi: 0.7014 0.1250 0.2500  2 Re 2.64
Bi: 0.0486 0.6250 0.2500  2 Re 2.64
Re: 0.7500 0.2500 0.5000  4 Bi 2.64
Re: 0.0000 0.0000 0.0000  4 Bi 2.64
Na: 0.5000 0.5000 0.0000  4 Bi 3.29
Na: 0.2500 0.7500 0.5000  4 Bi 3.29

SG = I-42d (122)
uncorrected energy = -4.605 eV/atom